[1]
FePd5Au2: optimized geometry, PBE.

It has space group I4/mmm (No. 139), with a = 5.679 Å, b = 5.679 Å, c = 7.826 Å, α = 90.00°, β = 90.00° and γ = 90.00°. The inequivalent atoms are Fe at (0.000, 0.000, 0.000), Pd at (0.000, 0.000, 0.500), Pd at (0.250, 0.250, 0.250) and Au at (0.000, 0.500, 0.000).

The crystal system is tetragonal. The energy relative to the elements is -0.04 eV per atom. Its energy above the most stable polymorph in this dataset is 0.00 eV/f.u.

[2]
FePd5Au2: optimized geometry, PBE.

It has space group P4/mmm (No. 123), with a = 5.850 Å, b = 5.850 Å, c = 4.470 Å, α = 90.00°, β = 90.00° and γ = 90.00°. The inequivalent atoms are Fe at (0.000, 0.000, 0.000), Pd at (0.000, 0.000, 0.500), Pd at (0.279, 0.279, 0.000) and Au at (0.000, 0.500, 0.500).

The crystal system is tetragonal. The energy relative to the elements is 0.48 eV per atom. Its energy above the most stable polymorph in this dataset is 4.14 eV/f.u.

[3]
Fe2Pd4Au: optimized geometry, PBE.

It has space group I4/mmm (No. 139), with a = 4.930 Å, b = 4.930 Å, c = 12.340 Å, α = 90.00°, β = 90.00° and γ = 90.00°. The inequivalent atoms are Fe at (0.000, 0.000, 0.094), Pd at (0.000, 0.000, 0.285), Pd at (0.000, 0.500, 0.000) and Au at (0.000, 0.000, 0.500).

The crystal system is tetragonal. The energy relative to the elements is 0.92 eV per atom. Its energy above the most stable polymorph in this dataset is 5.91 eV/f.u.

[4]
FePd5Au: optimized geometry, PBE.

It has space group P4/mmm (No. 123), with a = 4.019 Å, b = 4.019 Å, c = 7.075 Å, α = 90.00°, β = 90.00° and γ = 90.00°. The inequivalent atoms are Fe at (0.000, 0.000, 0.000), Pd at (0.000, 0.000, 0.500), Pd at (0.000, 0.500, 0.212) and Au at (0.500, 0.500, 0.500).

The crystal system is tetragonal. The energy relative to the elements is 0.05 eV per atom. Its energy above the most stable polymorph in this dataset is 0.00 eV/f.u.

[5]
FePdAu3: optimized geometry, PBE.

It has space group Pm-3m (No. 221), with a = 4.766 Å, b = 4.766 Å, c = 4.766 Å, α = 90.00°, β = 90.00° and γ = 90.00°. The inequivalent atoms are Fe at (0.000, 0.000, 0.000), Pd at (0.500, 0.500, 0.500) and Au at (0.000, 0.000, 0.500).

The crystal system is cubic. The energy relative to the elements is 0.88 eV per atom. Its energy above the most stable polymorph in this dataset is 0.00 eV/f.u.

[6]
FePd2Au2: optimized geometry, PBE.

It has space group I4/mmm (No. 139), with a = 3.700 Å, b = 3.700 Å, c = 13.632 Å, α = 90.00°, β = 90.00° and γ = 90.00°. The inequivalent atoms are Fe at (0.000, 0.000, 0.000), Pd at (0.000, 0.000, 0.406) and Au at (0.000, 0.500, 0.250).

The crystal system is tetragonal. The energy relative to the elements is 0.41 eV per atom. Its energy above the most stable polymorph in this dataset is 2.42 eV/f.u.

[7]
FePd8Au6: optimized geometry, PBE.

It has space group P-3 (No. 147), with a = 7.6451 Å, b = 7.6451 Å, c = 5.0073 Å, α = 90.00°, β = 90.00° and γ = 120.00°. The inequivalent atoms are Fe at (0.0000, 0.0000, 0.0000), Pd at (0.0520, 0.7836, 0.7055), Pd at (0.3333, 0.6667, 0.7159) and Au at (0.1001, 0.6348, 0.2155).

The crystal system is trigonal. The energy relative to the elements is 0.04 eV per atom. Its energy above the most stable polymorph in this dataset is 0.07 eV/f.u.

[8]
FePd2Au2: optimized geometry, PBE.

It has space group P4/mbm (No. 127), with a = 6.534 Å, b = 6.534 Å, c = 4.057 Å, α = 90.00°, β = 90.00° and γ = 90.00°. The inequivalent atoms are Fe at (0.000, 0.000, 0.000), Pd at (0.143, 0.357, 0.000) and Au at (0.161, 0.661, 0.500).

The crystal system is tetragonal. The energy relative to the elements is 0.18 eV per atom. Its energy above the most stable polymorph in this dataset is 1.26 eV/f.u.

Which value of energy above the most stable polymorph in this dataset does entry 6 give? 2.42 eV/f.u.